[1]
# Ac6Tl2Ga | Alexandria | PBE | optimized geometry
# V, Å³/cell: 368.6
# ΔH_f (0 K), eV per atom: -0.119
# Offset from the most stable computed form, meV/atom: 154
# Symmetry: No. 71
# DFT total energy, eV/cell: -33.485
data_Ac6Tl2Ga
_symmetry_space_group_name_H-M 'P 1'
_symmetry_Int_Tables_number 1
_symmetry_space_group_name_Hall 'P 1'
_cell_length_a 9.660
_cell_length_b 9.660
_cell_length_c 9.660
_cell_angle_alpha 146.39
_cell_angle_beta 131.79
_cell_angle_gamma 60.05
loop_
_atom_site_label
_atom_site_type_symbol
_atom_site_fract_x
_atom_site_fract_y
_atom_site_fract_z
_atom_site_occupancy
Ac1 Ac 0.080 0.337 0.743 1
Ac2 Ac 0.234 0.000 0.234 1
Ac3 Ac 0.405 0.663 0.743 1
Ac4 Ac 0.595 0.337 0.257 1
Ac5 Ac 0.766 0.000 0.766 1
Ac6 Ac 0.920 0.663 0.257 1
Tl1 Tl 0.336 0.836 0.500 1
Tl2 Tl 0.664 0.164 0.500 1
Ga1 Ga 0.000 0.500 0.500 1

---

[2]
# Ac2TlGa | Alexandria | PBE | optimized geometry
# V, Å³/cell: 144.5
# ΔH_f (0 K), eV per atom: -0.257
# Symmetry: No. 166
# DFT total energy, eV/cell: -14.637
data_Ac2TlGa
_symmetry_space_group_name_H-M 'P 1'
_symmetry_Int_Tables_number 1
_symmetry_space_group_name_Hall 'P 1'
_cell_length_a 10.071
_cell_length_b 10.071
_cell_length_c 10.071
_cell_angle_alpha 23.66
_cell_angle_beta 23.66
_cell_angle_gamma 23.66
loop_
_atom_site_label
_atom_site_type_symbol
_atom_site_fract_x
_atom_site_fract_y
_atom_site_fract_z
_atom_site_occupancy
Ac1 Ac 0.244 0.244 0.244 1
Ac2 Ac 0.756 0.756 0.756 1
Tl1 Tl 0.000 0.000 0.000 1
Ga1 Ga 0.500 0.500 0.500 1